Entry 1:
This record from Alexandria describes Tb3PmAl2 after structural relaxation. The functional is PBE.

The structure belongs to space group Cmmm (No. 65); the cell edges are 4.814, 14.860 and 4.454 Å and the angles 90.00°, 90.00° and 90.00°. Symmetry generates all atoms from Tb at (0.000, 0.000, 0.000), Tb at (0.000, 0.325, 0.000), Pm at (0.000, 0.500, 0.500) and Al at (0.000, 0.161, 0.500).

The calculation puts the polymorph energy (0 for the lowest one) at 70 meV per atom. The size of the total moment is 0.00 μB/atom. The calculation puts the calculated formation energy at -0.179 eV per atom.

Entry 2:
This record from Alexandria describes La3PmSm4Te8 after structural relaxation. The functional is PBE.

The structure belongs to space group R-3m (No. 166, hexagonal axes); the cell edges are 9.0050, 9.0050 and 22.0134 Å and the angles 90.00°, 90.00° and 120.00°. Symmetry generates all atoms from La at (0.0000, 0.5000, 0.0000), Pm at (0.0000, 0.0000, 0.0000), Sm at (0.0000, 0.0000, 0.5000), Sm at (0.0000, 0.5000, 0.5000), Te at (0.0000, 0.0000, 0.2469) and Te at (0.0032, 0.5016, 0.7522).

The size of the total moment is 0.00 μB/atom. The value obtained for the raw formation energy is -1.46 eV per atom.

Entry 3:
This record from Alexandria describes NbVTcMo after structural relaxation. The functional is PBE.

The structure belongs to space group F-43m (No. 216); the cell edges are 6.274, 6.274 and 6.274 Å and the angles 90.00°, 90.00° and 90.00°. Symmetry generates all atoms from Nb at (0.000, 0.000, 0.000), V at (0.000, 0.000, 0.500), Tc at (0.250, 0.250, 0.250) and Mo at (0.250, 0.250, 0.750).

The calculation puts the polymorph energy (0 for the lowest one) at 0 meV per atom. The size of the total moment is 0.00 μB/atom. The calculation puts the calculated formation energy at -0.222 eV per atom.